This record from Alexandria via LeMat-Bulk describes crystalline LiMgTa2 at its relaxed geometry. The functional is PBE.

Results
space group	No. 123
formation energy	0.4285	eV/atom
DOS at the Fermi energy	2.92	states/eV per cell
crystal system	tetragonal

abc: 3.824 3.824 4.935
angles: 90.00 90.00 90.00
Sites, in units of the cell vectors:
1 Li 0.000 0.000 0.000
2 Mg 0.500 0.500 0.000
3 Ta 0.000 0.500 0.500
4 Ta 0.500 0.000 0.500